Entry 1:
## Sm6AgSe3S2 (PBE)

Data for an optimized crystal structure of Sm6AgSe3S2.

Calculated values
**Density of states at the Fermi level**: 6.54 states/eV per cell
**Raw formation energy**: -1.60 eV/atom

The structure in extended XYZ format:
```
12
Lattice="9.036 -2.041 0.000 9.036 2.041 0.000 -1.983 0.000 8.173" Properties=species:S:1:pos:R:3 pbc="T T T"
Sm -0.415 0.000 2.112
Sm 5.114 0.000 3.494
Sm 4.174 0.000 7.360
Sm 11.916 0.000 0.813
Sm 10.976 0.000 4.679
Sm 16.505 0.000 6.061
Ag 9.036 0.000 0.000
Se 1.325 0.000 6.806
Se 8.045 0.000 4.087
Se 14.764 0.000 1.367
S 2.380 0.000 2.746
S 13.710 0.000 5.428
```

Entry 2:
## FeCo (PBE)

Data for an optimized crystal structure of FeCo.

Calculated values
**Density of states at the Fermi level**: 9.54 states/eV per cell
**Energy of formation from the pure elements**: 0.61 eV/atom

The structure in extended XYZ format:
```
8
Lattice="4.666 0.000 0.000 0.000 4.666 0.000 0.000 0.000 4.733" Properties=species:S:1:pos:R:3 pbc="T T T"
Fe 0.917 0.917 0.000
Fe 1.416 3.251 2.366
Fe 3.251 1.416 2.366
Fe 3.749 3.749 0.000
Co 0.899 0.899 2.366
Co 1.434 3.232 0.000
Co 3.232 1.434 0.000
Co 3.767 3.767 2.366
```

Entry 3:
## La3HoEr2As6 (PBE)

Data for an optimized crystal structure of La3HoEr2As6.

Calculated values
**Density of states at the Fermi level**: 1.38 states/eV per cell
**Energy of formation from the pure elements**: -1.54 eV/atom

The structure in extended XYZ format:
```
12
Lattice="3.669 -6.354 0.000 3.669 6.354 0.000 -2.444 0.000 6.902" Properties=species:S:1:pos:R:3 pbc="T T T"
La 0.000 0.000 0.000
La 3.669 2.116 0.000
La 3.669 -2.116 0.000
Ho 2.447 0.000 3.451
Er 2.447 4.235 3.451
Er 2.447 -4.235 3.451
As 1.221 2.122 1.831
As -0.003 0.000 5.071
As 1.221 -2.122 1.831
As 3.672 2.122 5.071
As 4.896 0.000 1.831
As 3.672 -2.122 5.071
```

Entry 4:
## NaHgAs2Se (PBE)

Data for an optimized crystal structure of NaHgAs2Se.

Calculated values
**Density of states at the Fermi level**: 5.84 states/eV per cell
**E above lowest polymorph**: 357 meV per atom
**Raw formation energy**: 0.87 eV/atom

The structure in extended XYZ format:
```
5
Lattice="5.142 0.000 0.000 0.000 5.142 0.000 0.000 0.000 5.079" Properties=species:S:1:pos:R:3 pbc="T T T"
Na 0.000 0.000 0.000
Hg 2.571 2.571 2.540
As 0.000 2.571 0.000
As 2.571 0.000 0.000
Se 0.000 0.000 2.540
```

- density of states at the Fermi level of number 3 (La3HoEr2As6)?
  1.38 states/eV per cell